# 1
Material: RbHf2CuPd
Method: DFT, PBE
State: relaxed

Properties
Total DFT energy (no corrections) ... -5.0036 eV/atom
Crystal system ... tetragonal
Formation energy from the elements ... 1.029 eV per atom

Cell: 5.026 5.026 6.324 Å, 90.00 90.00 90.00°
Space group P4/mmm (No. 123)
Unique sites:
1 Rb 0.000 0.000 0.000 (multiplicity 1)
2 Hf 0.000 0.500 0.500 (multiplicity 2)
3 Cu 0.500 0.500 0.000 (multiplicity 1)
4 Pd 0.000 0.000 0.500 (multiplicity 1)

---

# 2
Material: HfCuRePd2
Method: DFT, PBE
State: relaxed

Properties
Total DFT energy (no corrections) ... -6.6099 eV/atom
Crystal system ... tetragonal
Formation energy from the elements ... 0.767 eV per atom

Cell: 4.493 4.493 4.504 Å, 90.00 90.00 90.00°
Space group P4/mmm (No. 123)
Unique sites:
1 Hf 0.000 0.000 0.000 (multiplicity 1)
2 Cu 0.500 0.500 0.500 (multiplicity 1)
3 Re 0.500 0.500 0.000 (multiplicity 1)
4 Pd 0.000 0.500 0.500 (multiplicity 2)

---

# 3
Material: SmHfCuPd
Method: DFT, PBE
State: relaxed

Properties
Total DFT energy (no corrections) ... -6.2987 eV/atom
Crystal system ... cubic
Formation energy from the elements ... -0.308 eV per atom

Cell: 6.856 6.856 6.856 Å, 90.00 90.00 90.00°
Space group F-43m (No. 216)
Unique sites:
1 Sm 0.000 0.000 0.000 (multiplicity 4)
2 Hf 0.000 0.000 0.500 (multiplicity 4)
3 Cu 0.250 0.250 0.250 (multiplicity 4)
4 Pd 0.250 0.250 0.750 (multiplicity 4)

---

# 4
Material: HfThCuPd
Method: DFT, PBE
State: relaxed

Properties
Total DFT energy (no corrections) ... -6.9146 eV/atom
Crystal system ... cubic
Formation energy from the elements ... -0.249 eV per atom

Cell: 6.939 6.939 6.939 Å, 90.00 90.00 90.00°
Space group F-43m (No. 216)
Unique sites:
1 Hf 0.000 0.000 0.000 (multiplicity 4)
2 Th 0.000 0.000 0.500 (multiplicity 4)
3 Cu 0.250 0.250 0.250 (multiplicity 4)
4 Pd 0.250 0.250 0.750 (multiplicity 4)

---

# 5
Material: Hf2TiCuPd
Method: DFT, PBE
State: relaxed

Properties
Total DFT energy (no corrections) ... -6.7231 eV/atom
Crystal system ... tetragonal
Formation energy from the elements ... 0.695 eV per atom

Cell: 4.959 4.959 4.657 Å, 90.00 90.00 90.00°
Space group P4/mmm (No. 123)
Unique sites:
1 Hf 0.000 0.500 0.000 (multiplicity 2)
2 Ti 0.000 0.000 0.500 (multiplicity 1)
3 Cu 0.500 0.500 0.500 (multiplicity 1)
4 Pd 0.500 0.500 0.000 (multiplicity 1)

---

# 6
Material: HfTiCuPd
Method: DFT, PBE
State: relaxed

Properties
Energy above the most stable polymorph in this dataset ... 0.000 eV/atom
Total DFT energy (no corrections) ... -7.1669 eV/atom
Crystal system ... tetragonal
Formation energy from the elements ... -0.383 eV per atom

Cell: 3.260 3.260 6.189 Å, 90.00 90.00 90.00°
Space group P4mm (No. 99)
Unique sites:
1 Hf 0.000 0.000 0.000 (multiplicity 1)
2 Ti 0.500 0.500 0.298 (multiplicity 1)
3 Cu 0.500 0.500 0.756 (multiplicity 1)
4 Pd 0.000 0.000 0.524 (multiplicity 1)

---

# 7
Material: HfTiCuPd
Method: DFT, PBE
State: relaxed

Properties
Energy above the most stable polymorph in this dataset ... 0.095 eV/atom
Total DFT energy (no corrections) ... -7.0715 eV/atom
Crystal system ... cubic
Formation energy from the elements ... -0.287 eV per atom

Cell: 6.442 6.442 6.442 Å, 90.00 90.00 90.00°
Space group F-43m (No. 216)
Unique sites:
1 Hf 0.000 0.000 0.000 (multiplicity 4)
2 Ti 0.000 0.000 0.500 (multiplicity 4)
3 Cu 0.250 0.250 0.250 (multiplicity 4)
4 Pd 0.250 0.250 0.750 (multiplicity 4)

---

# 8
Material: HfTi2Cu2Pd2
Method: DFT, PBE
State: relaxed

Properties
Total DFT energy (no corrections) ... -6.6247 eV/atom
Crystal system ... monoclinic
Formation energy from the elements ... -0.293 eV per atom

Cell: 8.913 4.175 5.856 Å, 90.00 94.51 90.00°
Space group C2/m (No. 12)
Unique sites:
1 Hf 0.000 0.000 0.000 (multiplicity 2)
2 Ti 0.101 0.500 0.696 (multiplicity 4)
3 Cu 0.127 0.000 0.438 (multiplicity 4)
4 Pd 0.198 0.500 0.159 (multiplicity 4)

---

# 9
Material: HfTlCuPd
Method: DFT, PBE
State: relaxed

Properties
Total DFT energy (no corrections) ... -5.6200 eV/atom
Crystal system ... cubic
Formation energy from the elements ... -0.218 eV per atom

Cell: 6.566 6.566 6.566 Å, 90.00 90.00 90.00°
Space group F-43m (No. 216)
Unique sites:
1 Hf 0.000 0.000 0.000 (multiplicity 4)
2 Tl 0.000 0.000 0.500 (multiplicity 4)
3 Cu 0.250 0.250 0.750 (multiplicity 4)
4 Pd 0.250 0.250 0.250 (multiplicity 4)

---

# 10
Material: HfCuPd2W
Method: DFT, PBE
State: relaxed

Properties
Total DFT energy (no corrections) ... -6.3701 eV/atom
Crystal system ... tetragonal
Formation energy from the elements ... 1.108 eV per atom

Cell: 4.757 4.757 4.614 Å, 90.00 90.00 90.00°
Space group P4/mmm (No. 123)
Unique sites:
1 Hf 0.000 0.000 0.000 (multiplicity 1)
2 Cu 0.500 0.500 0.000 (multiplicity 1)
3 Pd 0.000 0.500 0.500 (multiplicity 2)
4 W 0.500 0.500 0.500 (multiplicity 1)

---

# 11
Material: Pm4HfCu5
Method: DFT, PBE
State: relaxed

Properties
Total DFT energy (no corrections) ... -5.0809 eV/atom
Crystal system ... tetragonal
Formation energy from the elements ... -0.137 eV per atom

Cell: 3.477 3.477 17.709 Å, 90.00 90.00 90.00°
Space group P4/mmm (No. 123)
Unique sites:
1 Pm 0.000 0.000 0.103 (multiplicity 2)
2 Pm 0.000 0.000 0.310 (multiplicity 2)
3 Hf 0.000 0.000 0.500 (multiplicity 1)
4 Cu 0.500 0.500 0.000 (multiplicity 1)
5 Cu 0.500 0.500 0.207 (multiplicity 2)
6 Cu 0.500 0.500 0.425 (multiplicity 2)

---

# 12
Material: PmHfCu10
Method: DFT, PBE
State: relaxed

Properties
Total DFT energy (no corrections) ... -4.7322 eV/atom
Crystal system ... orthorhombic
Formation energy from the elements ... -0.093 eV per atom

Cell: 4.093 4.992 8.613 Å, 90.00 90.00 90.00°
Space group Pmmm (No. 47)
Unique sites:
1 Pm 0.000 0.000 0.000 (multiplicity 1)
2 Hf 0.000 0.500 0.500 (multiplicity 1)
3 Cu 0.000 0.000 0.343 (multiplicity 2)
4 Cu 0.000 0.500 0.179 (multiplicity 2)
5 Cu 0.500 0.000 0.500 (multiplicity 1)
6 Cu 0.500 0.255 0.260 (multiplicity 4)
7 Cu 0.500 0.500 0.000 (multiplicity 1)